Entry 1:
Computed, not measured: ThGa6Br12 after structural relaxation at the PBE level of DFT. Values from VASP.

Output
density	3.84	g/cm³
energy	-3.186	eV/atom
D(E_F)	0.791	states/eV/atom

The structure in Quantum ESPRESSO input format:
```
&SYSTEM
  ibrav = 0, nat = 19, ntyp = 3
/
ATOMIC_SPECIES
Br 79.90 Br.upf
Ga 69.72 Ga.upf
Th 232.04 Th.upf
ATOMIC_POSITIONS angstrom
Br 1.5524 -1.8093 9.1657
Br 4.8225 -5.1725 6.8075
Br 2.4052 -2.3541 4.8906
Br -2.3734 0.4488 9.5142
Br 2.5699 2.0968 8.8709
Br 7.3485 -0.7061 4.2473
Ga 1.1139 2.8918 4.5483
Br -0.8681 -4.5520 7.1460
Ga 0.7602 0.8781 10.4096
Br 5.2374 -0.7716 7.8529
Ga -0.6331 -1.9992 5.0885
Th 0.0000 0.0000 0.0000
Br 0.1526 4.9152 6.9540
Ga 4.2150 -1.1354 3.3519
Ga 3.8612 -3.1491 9.2132
Br -0.2623 0.5143 5.9086
Br 5.8433 4.2947 6.6155
Ga 5.6082 1.7419 8.6730
Br 3.4227 1.5520 4.5958
CELL_PARAMETERS angstrom
-1.1933 -6.8630 5.4914
8.5892 0.7145 2.0964
-2.4208 5.8912 6.1736
```



Entry 2:
Computed, not measured: AcU4N8 after structural relaxation at the PBE level of DFT. Values from VASP.

Output
density	8.25	g/cm³
energy	-10.062	eV/atom
D(E_F)	0.793	states/eV/atom

The structure in Quantum ESPRESSO input format:
```
&SYSTEM
  ibrav = 0, nat = 13, ntyp = 3
/
ATOMIC_SPECIES
N 14.01 N.upf
U 238.03 U.upf
Ac 227.00 Ac.upf
ATOMIC_POSITIONS angstrom
N -5.3630 1.5064 -4.8353
U -3.3742 0.5269 -4.9961
N -10.6275 -1.6366 -7.6562
N -9.4281 -0.4073 -4.6074
U -1.0179 -1.2308 -3.1076
N -8.1596 -3.2395 -5.7628
N -6.3277 0.3399 -7.7805
U 0.0000 0.0000 0.0000
N -2.8951 -0.0965 -2.9419
U -2.3563 1.7576 -1.8885
Ac -6.7613 -0.8665 -5.2991
N -7.1949 -2.0730 -2.8176
N -4.0945 -1.3258 -5.9907
CELL_PARAMETERS angstrom
-4.7127 3.5153 -3.7770
-2.0358 -2.4615 -6.2152
-6.7742 -2.7868 -0.6059
```



Entry 3:
Computed, not measured: BeAgP2S after structural relaxation at the PBE level of DFT. Values from VASP.

Output
density	3.16	g/cm³
relative energy among the computed polymorphs	424	kJ/mol of formula units
energy	-2.788	eV/atom
D(E_F)	0.857	states/eV/atom

The structure in Quantum ESPRESSO input format:
```
&SYSTEM
  ibrav = 0, nat = 5, ntyp = 4
/
ATOMIC_SPECIES
S 32.06 S.upf
P 30.97 P.upf
Ag 107.87 Ag.upf
Be 9.01 Be.upf
ATOMIC_POSITIONS angstrom
S 0.0917 0.4447 2.3934
P 1.6749 -1.6796 0.2479
Ag 0.0000 0.0000 0.0000
P -1.6954 -1.6363 0.3689
Be 0.0712 -2.8712 3.0103
CELL_PARAMETERS angstrom
-3.3908 -3.2725 0.7379
3.3499 -3.3591 0.4957
0.1834 0.8893 4.7869
```



Entry 4:
Computed, not measured: TlSb2 after structural relaxation at the PBE level of DFT. Values from VASP.

Output
density	8.04	g/cm³
energy	-3.497	eV/atom
D(E_F)	0.319	states/eV/atom

The structure in Quantum ESPRESSO input format:
```
&SYSTEM
  ibrav = 0, nat = 3, ntyp = 2
/
ATOMIC_SPECIES
Sb 121.76 Sb.upf
Tl 204.38 Tl.upf
ATOMIC_POSITIONS angstrom
Sb -2.6158 -0.5580 2.6618
Tl 0.0000 0.0000 0.0000
Sb -5.9349 -1.2661 6.0393
CELL_PARAMETERS angstrom
-5.0482 1.7069 4.1402
-3.5026 -3.5311 4.5609
6.0917 1.6030 -2.4208
```



Entry 5:
Computed, not measured: Rb2SCl5 after structural relaxation at the PBE level of DFT. Values from VASP.

Output
density	2.41	g/cm³
energy	-2.901	eV/atom

The structure in Quantum ESPRESSO input format:
```
&SYSTEM
  ibrav = 0, nat = 8, ntyp = 3
/
ATOMIC_SPECIES
S 32.06 S.upf
Rb 85.47 Rb.upf
Cl 35.45 Cl.upf
ATOMIC_POSITIONS angstrom
S -0.0122 0.0136 -0.0013
Rb -4.2034 -0.5548 -1.2680
Cl -2.7063 -1.8971 4.8829
Cl -4.4138 -3.9069 -0.1434
Cl -5.4833 -4.5310 3.6745
Cl -5.0305 -1.2844 2.2225
Rb -2.6490 1.2750 3.3079
Cl -1.6369 -1.2731 1.0651
CELL_PARAMETERS angstrom
-5.0561 -4.7960 -2.2003
-1.9472 -1.1365 6.9516
0.2034 6.5948 -2.7061
```



Entry 6:
Computed, not measured: AlGa12Ag3 after structural relaxation at the PBE level of DFT. Values from VASP.

Output
density	6.60	g/cm³
energy	-2.971	eV/atom
D(E_F)	0.353	states/eV/atom
formation energy	0.067	eV per atom

The structure in Quantum ESPRESSO input format:
```
&SYSTEM
  ibrav = 0, nat = 16, ntyp = 3
/
ATOMIC_SPECIES
Ga 69.72 Ga.upf
Ag 107.87 Ag.upf
Al 26.98 Al.upf
ATOMIC_POSITIONS angstrom
Ga 2.4390 2.4389 3.0059
Ga -0.0002 2.4389 4.6574
Ga 2.4389 0.0000 4.6573
Ga -0.0005 2.4389 11.0966
Ga 2.4387 -0.0001 7.9044
Ga 2.4386 2.4389 9.5558
Ag -0.0003 0.0000 6.2809
Ga 2.4391 2.4390 -0.0001
Ga 2.4390 0.0000 1.4651
Ga -0.0001 2.4390 1.4652
Al 0.0000 0.0000 0.0000
Ga 2.4388 2.4389 6.2808
Ga -0.0004 2.4389 7.9044
Ag -0.0001 0.0000 3.0583
Ga 2.4385 -0.0001 11.0965
Ag -0.0005 -0.0001 9.5036
CELL_PARAMETERS angstrom
4.8782 0.0000 -0.0001
0.0000 4.8779 0.0000
-0.0006 -0.0001 12.5618
```



Entry 7:
Computed, not measured: Ba2CdSbRh after structural relaxation at the PBE level of DFT. Values from VASP.

Output
density	5.40	g/cm³
energy	-3.693	eV/atom
D(E_F)	0.728	states/eV/atom

The structure in Quantum ESPRESSO input format:
```
&SYSTEM
  ibrav = 0, nat = 5, ntyp = 4
/
ATOMIC_SPECIES
Rh 102.91 Rh.upf
Cd 112.41 Cd.upf
Sb 121.76 Sb.upf
Ba 137.33 Ba.upf
ATOMIC_POSITIONS angstrom
Rh 0.0000 0.0000 0.0000
Cd -4.7275 -1.3295 -0.9364
Sb -0.8706 -2.2427 0.7683
Ba -2.5465 1.3371 1.0175
Ba -1.3104 -0.4240 -2.7223
CELL_PARAMETERS angstrom
-5.0930 2.6743 2.0351
-2.6208 -0.8479 -5.4446
-1.7412 -4.4854 1.5367
```



Entry 8:
Computed, not measured: RbIn2CuCl8 after structural relaxation at the PBE level of DFT. Values from VASP.

Output
density	3.06	g/cm³
energy	-3.200	eV/atom

The structure in Quantum ESPRESSO input format:
```
&SYSTEM
  ibrav = 0, nat = 12, ntyp = 4
/
ATOMIC_SPECIES
Cu 63.55 Cu.upf
Cl 35.45 Cl.upf
Rb 85.47 Rb.upf
In 114.82 In.upf
ATOMIC_POSITIONS angstrom
Cu 0.0000 0.0000 0.0000
Cl 8.7787 3.9478 1.4929
Rb 6.5875 3.8033 4.7860
Cl 5.6170 1.8334 1.4929
Cl 9.8812 5.7050 5.0375
Cl 7.5580 5.7732 8.0790
Cl 4.3963 3.6588 8.0790
In 3.2937 1.9017 2.1242
Cl 5.3668 5.6287 1.4929
Cl 7.8082 1.9779 8.0790
Cl 3.2937 1.9017 4.5345
In 9.8812 5.7050 7.4478
CELL_PARAMETERS angstrom
6.5875 0.0000 0.0000
3.2937 5.7050 0.0000
3.2937 1.9017 9.5720
```



Entry 9:
Computed, not measured: EuPaIrPd after structural relaxation at the PBE level of DFT. Values from VASP.

Output
density	13.09	g/cm³
energy	-8.928	eV/atom
D(E_F)	1.789	states/eV/atom
formation energy	-0.472	eV per atom

The structure in Quantum ESPRESSO input format:
```
&SYSTEM
  ibrav = 0, nat = 4, ntyp = 4
/
ATOMIC_SPECIES
Pa 231.04 Pa.upf
Pd 106.42 Pd.upf
Ir 192.22 Ir.upf
Eu 151.96 Eu.upf
ATOMIC_POSITIONS angstrom
Pa 2.4815 1.4327 1.0131
Pd 4.9630 2.8654 2.0261
Ir 0.0000 0.0000 0.0000
Eu 7.4444 4.2981 3.0392
CELL_PARAMETERS angstrom
4.9630 0.0000 0.0000
2.4815 4.2981 0.0000
2.4815 1.4327 4.0522
```



Entry 10:
Computed, not measured: SmHo3O after structural relaxation at the PBE level of DFT. Values from VASP.

Output
density	9.12	g/cm³
energy	-5.761	eV/atom
D(E_F)	1.265	states/eV/atom

The structure in Quantum ESPRESSO input format:
```
&SYSTEM
  ibrav = 0, nat = 5, ntyp = 3
/
ATOMIC_SPECIES
O 16.00 O.upf
Ho 164.93 Ho.upf
Sm 150.36 Sm.upf
ATOMIC_POSITIONS angstrom
O 0.0000 0.0000 0.0000
Ho -1.9574 -0.4118 1.4468
Sm -0.9337 2.1669 3.5658
Ho -0.4206 2.4294 0.1226
Ho 1.4443 0.1493 1.9965
CELL_PARAMETERS angstrom
-0.8411 4.8589 0.2451
-3.9147 -0.8237 2.8936
2.8885 0.2986 3.9929
```



Entry 11:
Computed, not measured: KRe3Ir after structural relaxation at the PBE level of DFT. Values from VASP.

Output
density	15.32	g/cm³
relative energy among the computed polymorphs	784	kJ/mol of formula units
energy	-5.663	eV/atom
D(E_F)	1.054	states/eV/atom
formation energy	3.798	eV per atom

The structure in Quantum ESPRESSO input format:
```
&SYSTEM
  ibrav = 0, nat = 5, ntyp = 3
/
ATOMIC_SPECIES
Re 186.21 Re.upf
K 39.10 K.upf
Ir 192.22 Ir.upf
ATOMIC_POSITIONS angstrom
Re 1.6079 0.3179 1.4734
Re -1.3286 -0.7186 1.6049
K 0.0000 0.0000 0.0000
Re -0.7119 2.0591 0.3326
Ir -0.4326 1.6584 3.4110
CELL_PARAMETERS angstrom
-2.6573 -1.4372 3.2099
3.2158 0.6358 2.9469
-1.4238 4.1183 0.6652
```



Entry 12:
Computed, not measured: SrPrEr after structural relaxation at the PBE level of DFT. Values from VASP.

Output
density	5.68	g/cm³
relative energy among the computed polymorphs	0	kJ/mol of formula units
energy	-3.563	eV/atom
D(E_F)	1.433	states/eV/atom
formation energy	0.112	eV per atom

The structure in Quantum ESPRESSO input format:
```
&SYSTEM
  ibrav = 0, nat = 3, ntyp = 3
/
ATOMIC_SPECIES
Sr 87.62 Sr.upf
Pr 140.91 Pr.upf
Er 167.26 Er.upf
ATOMIC_POSITIONS angstrom
Sr -6.5120 3.5983 4.0819
Pr -3.8098 0.8436 0.7071
Er -2.7385 2.7917 3.4200
CELL_PARAMETERS angstrom
-2.0914 1.4060 -2.8223
-2.4422 -2.8645 0.3827
-1.9966 5.0753 6.5442
```



Entry 13:
Computed, not measured: Nb8Mo2W3 after structural relaxation at the PBE level of DFT. Values from VASP.

Output
density	9.87	g/cm³
energy	-10.338	eV/atom
D(E_F)	0.988	states/eV/atom
formation energy	0.514	eV per atom

The structure in Quantum ESPRESSO input format:
```
&SYSTEM
  ibrav = 0, nat = 13, ntyp = 3
/
ATOMIC_SPECIES
W 183.84 W.upf
Mo 95.94 Mo.upf
Nb 92.91 Nb.upf
ATOMIC_POSITIONS angstrom
W 0.0000 6.0428 0.0000
Mo 1.7805 0.0000 3.6612
Nb 2.1660 2.1067 2.1311
Nb 4.3273 0.0000 3.2078
Nb 4.1446 0.0000 6.2524
W 2.3752 0.0000 0.5218
Nb -0.0446 3.8236 1.5299
Nb 1.9340 1.7169 5.6512
Nb -0.2273 3.8236 4.5745
W 0.0000 1.6044 0.0000
Nb 2.1660 5.5406 2.1311
Nb 1.9340 -1.7169 5.6512
Mo 2.3195 3.8236 4.1211
CELL_PARAMETERS angstrom
4.7505 0.0000 1.0437
0.0000 7.6472 0.0000
-0.6505 -3.8236 6.7386
```



Entry 14:
Computed, not measured: PmSn3Pt2 after structural relaxation at the PBE level of DFT. Values from VASP.

Output
density	10.84	g/cm³
energy	-5.513	eV/atom
D(E_F)	0.314	states/eV/atom
formation energy	-0.707	eV per atom

The structure in Quantum ESPRESSO input format:
```
&SYSTEM
  ibrav = 0, nat = 12, ntyp = 3
/
ATOMIC_SPECIES
Pt 195.08 Pt.upf
Sn 118.71 Sn.upf
Pm 145.00 Pm.upf
ATOMIC_POSITIONS angstrom
Pt 1.0756 2.0720 4.2524
Sn 1.5192 3.6979 10.8004
Sn 2.7489 1.1932 6.3336
Pm 1.0926 6.7937 12.3501
Sn 0.6400 4.4645 5.8348
Pt 1.9963 1.5301 9.0675
Pm 3.7293 0.7855 2.7725
Sn 3.3026 3.8813 4.3221
Sn 4.1819 3.1147 9.2878
Sn 2.0730 6.3859 8.7889
Pt 3.7463 5.5072 10.8701
Pt 2.8256 6.0491 6.0550
CELL_PARAMETERS angstrom
4.1760 0.0000 1.1497
0.9291 7.2281 4.7845
-0.2833 0.3511 9.1884
```



Entry 15:
Computed, not measured: Ac2SeO5 after structural relaxation at the PBE level of DFT. Values from VASP.

Output
density	7.29	g/cm³
energy	-6.999	eV/atom
D(E_F)	0.000	states/eV/atom

The structure in Quantum ESPRESSO input format:
```
&SYSTEM
  ibrav = 0, nat = 32, ntyp = 3
/
ATOMIC_SPECIES
Ac 227.00 Ac.upf
Se 78.96 Se.upf
O 16.00 O.upf
ATOMIC_POSITIONS angstrom
Ac 3.2814 3.4833 4.2523
Se -1.3460 0.8173 5.4866
O 7.7452 -0.0531 8.6592
O 2.9450 2.8012 6.9986
O -4.8424 2.4691 4.0532
Se 1.5258 1.4007 1.8726
Se 4.2488 1.5987 7.2258
Ac -1.1154 -2.4291 4.3004
O 7.4598 2.1661 5.9323
O 1.8662 -1.9062 7.7411
Ac 4.0182 4.8451 8.4120
Ac -0.3786 -1.0673 8.4601
Ac 2.5116 -0.9561 5.3449
O 4.0541 1.1689 5.3048
O 3.3998 0.2261 7.7967
O -2.9221 -0.7615 9.1091
O -0.4970 2.1898 4.9157
O 2.4463 0.9385 3.2399
Ac 6.9167 4.7408 5.5245
O 0.4565 1.4775 9.4725
O -1.1513 1.2471 7.4076
Ac 0.3912 3.3720 7.3675
O 1.0366 4.3222 4.9713
O -1.8490 -0.0667 3.7343
Ac -4.0139 -2.3249 7.1879
O 5.8248 3.1775 3.6034
O 4.4497 5.1291 5.7999
O -0.0422 -0.3852 5.7139
O -1.5469 -2.7131 6.9125
O 4.7518 2.4827 8.9781
Se 1.3770 1.0153 10.8398
O -4.5570 0.2498 6.7801
CELL_PARAMETERS angstrom
-5.9015 2.8844 2.9482
0.2050 -5.2546 5.5511
8.5993 4.7862 4.2131
```